BiBr | PBE | optimized geometry

Lattice parameters (Å, degrees): 10.0200 10.0200 3.3562 90.00 90.00 90.00
Fractional positions:
Br1 0.6309 0.3691 0.0000
Br2 0.8691 0.8691 0.5000
Br3 0.1309 0.1309 0.5000
Br4 0.3691 0.6309 0.0000
Bi1 0.6666 0.6666 0.0000
Bi2 0.3334 0.3334 0.0000
Bi3 0.1666 0.8334 0.5000
Bi4 0.8334 0.1666 0.5000

Calculated values
N(E_F) ... 3.87 states/eV per cell
Crystal system ... tetragonal

BiBr | PBE | optimized geometry

Lattice parameters (Å, degrees): 8.8116 8.8116 8.8116 90.00 90.00 90.00
Fractional positions:
Bi1 0.0000 0.2500 0.5000
Bi2 0.7500 0.5000 0.0000
Bi3 0.0000 0.7500 0.5000
Bi4 0.2500 0.5000 0.0000
Bi5 0.5000 0.0000 0.7500
Bi6 0.5000 0.0000 0.2500
Br1 0.5000 0.2500 0.0000
Br2 0.2500 0.0000 0.5000
Br3 0.5000 0.7500 0.0000
Br4 0.7500 0.0000 0.5000
Br5 0.0000 0.5000 0.7500
Br6 0.0000 0.5000 0.2500

Calculated values
N(E_F) ... 12.93 states/eV per cell
Crystal system ... cubic

BiBr | PBE | optimized geometry

Lattice parameters (Å, degrees): 4.4072 5.7424 6.6371 104.35 90.54 108.63
Fractional positions:
Br1 0.9021 0.0666 0.2489
Br2 0.4974 0.3474 0.7801
Bi1 0.1098 0.5862 0.2845
Bi2 0.6891 0.7624 0.6192

Calculated values
N(E_F) ... 0.05 states/eV per cell
Crystal system ... triclinic

BiBr | PBE | optimized geometry

Lattice parameters (Å, degrees): 3.5312 5.7479 7.8997 110.33 91.04 107.34
Fractional positions:
Bi1 0.5136 0.6844 0.2736
Bi2 0.6376 0.9044 0.6970
Br1 0.4020 0.4268 0.7442
Br2 0.2485 0.1546 0.2180

Calculated values
N(E_F) ... 1.16 states/eV per cell
Crystal system ... triclinic

BiBr | PBE | optimized geometry

Lattice parameters (Å, degrees): 11.6109 7.6235 6.0550 90.00 90.00 90.00
Fractional positions:
Bi1 0.7860 0.9926 0.8462
Bi2 0.2140 0.9926 0.8462
Bi3 0.2860 0.0074 0.3462
Bi4 0.0000 0.7577 0.8510
Bi5 0.7140 0.0074 0.3462
Bi6 0.5000 0.2423 0.3510
Br1 0.0000 0.7473 0.3538
Br2 0.8326 0.2967 0.5524
Br3 0.1674 0.2967 0.5524
Br4 0.6674 0.7033 0.0524
Br5 0.3326 0.7033 0.0524
Br6 0.5000 0.2527 0.8538

Calculated values
Crystal system ... orthorhombic

BiBr | PBE | optimized geometry

Lattice parameters (Å, degrees): 12.2245 12.2245 4.4450 90.00 90.00 120.00
Fractional positions:
Bi1 0.2273 0.0782 0.2500
Bi2 0.8509 0.7727 0.2500
Bi3 0.9218 0.1491 0.2500
Bi4 0.7727 0.9218 0.7500
Bi5 0.0782 0.8509 0.7500
Bi6 0.1491 0.2273 0.7500
Br1 0.6965 0.5252 0.2500
Br2 0.1713 0.6965 0.7500
Br3 0.3035 0.4748 0.7500
Br4 0.8287 0.3035 0.2500
Br5 0.4748 0.1713 0.2500
Br6 0.5252 0.8287 0.7500

Calculated values
N(E_F) ... 5.46 states/eV per cell
Crystal system ... hexagonal

BiC2Br | PBE | optimized geometry

Lattice parameters (Å, degrees): 5.1348 5.1348 7.1989 69.11 69.11 90.00
Fractional positions:
Br1 0.5000 0.5000 0.0000
Br2 0.2500 0.7500 0.5000
Bi1 0.0000 0.0000 0.0000
Bi2 0.7500 0.2500 0.5000
C1 0.8750 0.8578 0.7500
C2 0.6078 0.1250 0.2500
C3 0.1422 0.6250 0.2500
C4 0.3750 0.3922 0.7500

Calculated values
Offset from the most stable computed form ... 0 meV per atom
N(E_F) ... 3.18 states/eV per cell
Crystal system ... tetragonal

BiCBr3 | PBE | optimized geometry

Lattice parameters (Å, degrees): 5.7248 5.7248 5.7248 90.00 90.00 90.00
Each line ends with the local moment (μB).
Fractional positions:
Bi1 0.0000 0.0000 0.0000  0.01
Br1 0.0000 0.0000 0.5000  0.00
Br2 0.0000 0.5000 0.0000  0.00
Br3 0.5000 0.0000 0.0000  0.00
C1 0.5000 0.5000 0.5000  0.97

Calculated values
Offset from the most stable computed form ... 152 meV per atom
N(E_F) ... 10.45 states/eV per cell
Crystal system ... cubic

BiCBr3 | PBE | optimized geometry

Lattice parameters (Å, degrees): 4.8297 4.8297 4.8297 90.00 90.00 90.00
Fractional positions:
Br1 0.5000 0.0000 0.0000
Br2 0.0000 0.0000 0.5000
Br3 0.0000 0.5000 0.0000
Bi1 0.5000 0.5000 0.5000
C1 0.0000 0.0000 0.0000

Calculated values
Offset from the most stable computed form ... 0 meV per atom
N(E_F) ... 2.44 states/eV per cell
Crystal system ... cubic

BiC2Br | PBE | optimized geometry

Lattice parameters (Å, degrees): 4.5194 4.5194 4.5194 60.00 60.00 60.00
Fractional positions:
Bi1 0.5000 0.5000 0.5000
C1 0.7500 0.7500 0.7500
C2 0.2500 0.2500 0.2500
Br1 0.0000 0.0000 0.0000

Calculated values
Offset from the most stable computed form ... 370 meV per atom
N(E_F) ... 2.41 states/eV per cell
Crystal system ... cubic

Ca2BiCBr | PBE | optimized geometry

Lattice parameters (Å, degrees): 6.0958 5.8162 6.0958 90.00 90.00 90.00
Each line ends with the local moment (μB).
Fractional positions:
Ca1 0.0000 0.0000 0.5000  0.00
Ca2 0.5000 0.0000 0.0000  -0.01
Bi1 0.0000 0.0000 0.0000  0.00
Br1 0.0000 0.5000 0.0000  0.02
C1 0.5000 0.5000 0.5000  1.03

Calculated values
N(E_F) ... 1.91 states/eV per cell
Crystal system ... tetragonal

no.,formation energy without anion corrections (meV/atom)
1,8
2,433
3,-387
4,-306
5,-343
6,-214
7,2268
8,1081
9,928
10,2638
11,952